The following is a PBE-GGA calculation of a relaxed Ba4CdInI2 crystal, from Alexandria via LeMat-Bulk.

Spin magnetization in μB/f.u.: 0.87
VASP energy in eV per atom: -2.6136

Cell: 8.4040 4.7683 9.6749 Å, 90.00 106.33 90.00°
Atoms (fractional coordinates):
Ba  0.2447  0.0000  0.2370
Ba  0.2523  0.5000  0.7648
Ba  0.7477  0.5000  0.2352
Ba  0.7553  0.0000  0.7630
Cd  0.5000  0.0000  0.0000
In  0.0000  0.5000  0.0000
I  0.0000  0.0000  0.5000
I  0.5000  0.5000  0.5000